This record from the Alexandria database describes a relaxed La2TlCuS4 crystal. The functional is PBE-GGA.

abc: 4.1566 14.2523 14.1614
angles: 90.00 90.00 90.00
With the nearest neighbours (Å) after each atom.
Space group Cmcm (No. 63)
Inequivalent atoms, fractional coordinates:
La (0.0000, 0.1341, 0.0611) [8 per cell]  6 S 2.81-2.95
Tl (0.0000, 0.3955, 0.2500) [4 per cell]  6 S 3.29-3.42
Cu (0.0000, 0.3348, 0.7500) [4 per cell]  4 S 2.34-2.45
S (0.0000, 0.0746, 0.2500) [4 per cell]  2 Cu 2.45
S (0.0000, 0.2396, 0.6150) [8 per cell]  1 Cu 2.34
S (0.0000, 0.5000, 0.0000) [4 per cell]  4 La 2.95

Output
Magnetization = 0.00 μB/f.u.
Formation energy (no corrections) = -1497 meV per atom

---

This record from the Alexandria database describes a relaxed LaTlCuS2 crystal. The functional is PBE-GGA.

abc: 4.4362 6.1310 9.2544
angles: 90.00 110.68 90.00
With the nearest neighbours (Å) after each atom.
Space group P2/c (No. 13)
Inequivalent atoms, fractional coordinates:
La (0.0000, 0.0509, 0.2500) [2 per cell]  6 S 2.90-3.11
Tl (0.5000, 0.3740, 0.7500) [2 per cell]  2 Cu 2.69
Cu (0.0000, 0.5000, 0.0000) [2 per cell]  2 S 2.22
S (0.3156, 0.2078, 0.0444) [4 per cell]  1 Cu 2.22

Output
Magnetization = 0.00 μB/f.u.
DOS at the Fermi energy = 1.882 states/eV/f.u.
Formation energy (no corrections) = -911 meV per atom

---

In the order shown, the computed energy values come out to -5.601, -4.840 eV/atom.